Computed, not measured: a relaxed PuScTi2 crystal at the PBE level of DFT.

Summary:
- E_form: 74 kJ/mol of formula units
- Space-group type: Fm-3m (225)
- ΔE to the lowest computed polymorph: 34.5 meV per atom
- Crystal system: cubic

Lattice parameters (Å, degrees): 4.8573 4.8573 4.8573 60.00 60.00 60.00
Last column: nearest neighbours and their distance in Å.
Element x y z (fractional)
Sc1 0.5000 0.5000 0.5000  8 Ti 2.97
Ti1 0.2500 0.2500 0.2500  4 Pu 2.97, 4 Sc 2.97
Ti2 0.7500 0.7500 0.7500  4 Sc 2.97, 4 Pu 2.97
Pu1 0.0000 0.0000 0.0000  8 Ti 2.97

---

Computed, not measured: a relaxed Ba2HF5 crystal at the PBE level of DFT.

Summary:
- Final energy: -5.2028 eV/atom
- Space-group type: I4mm (107)
- Crystal system: tetragonal

Lattice parameters (Å, degrees): 5.9699 5.9699 5.5627 122.45 122.45 90.00
Last column: nearest neighbours and their distance in Å.
Element x y z (fractional)
Ba1 0.2575 0.7575 0.5149  10 F 2.74-2.99
Ba2 0.7575 0.2575 0.5149  10 F 2.74-2.99
H1 0.9139 0.9139 0.8279  1 F 0.97
F1 0.7752 0.2586 0.0337  1 H 2.17
F2 0.2586 0.2586 0.0337  1 H 2.17
F3 0.7751 0.7751 0.0337  1 H 2.17
F4 0.2586 0.7752 0.0337  1 H 2.17
F5 0.7807 0.7807 0.5614  1 H 0.97

---

Computed, not measured: a relaxed Pt2Br8Cl crystal at the PBE level of DFT.

Summary:
- Space-group type: C2/m (12)
- Crystal system: monoclinic
- Formation energy from raw total energies: -0.133 eV/atom

Lattice parameters (Å, degrees): 7.2934 8.1927 8.1927 53.19 70.08 70.08
Last column: nearest neighbours and their distance in Å.
Element x y z (fractional)
Pt1 0.5028 0.2485 0.2485  6 Br 2.47-2.55
Pt2 0.4972 0.7515 0.7515  6 Br 2.47-2.55
Br1 0.2846 0.5996 0.1142  2 Pt 2.51-2.55
Br2 0.7154 0.8858 0.4004  2 Pt 2.51-2.55
Br3 0.2986 0.1469 0.1469  1 Pt 2.47
Br4 0.7014 0.8531 0.8531  1 Pt 2.47
Br5 0.2846 0.1142 0.5996  2 Pt 2.51-2.55
Br6 0.7154 0.4004 0.8858  2 Pt 2.51-2.55
Br7 0.7064 0.3512 0.3512  1 Pt 2.48
Br8 0.2936 0.6488 0.6488  1 Pt 2.48
Cl1 0.0000 0.0000 0.0000  4 Br 2.99

---

Q: Which size of the total moment values were calculated for the entries above? A: 6.38; 0.00; 0.00, in μB per cell.